A plane-wave DFT calculation with PBE was carried out for Cs3La3InTe8 after structural relaxation.

Values from the calculation:
- formation energy from raw total energies (eV/atom) = -1.160
- total DFT energy (no corrections) (eV/cell) = -125.218

Cell: 16.088 9.284 10.648 Å, 90.00 120.27 90.00°
Space group C2/m (No. 12)
Unique sites:
Cs 0.000 0.000 0.000 x2
Cs 0.250 0.250 0.000 x4
La 0.000 0.500 0.500 x2
La 0.250 0.250 0.500 x4
In 0.000 0.000 0.500 x2
Te 0.017 0.239 0.311 x8
Te 0.221 0.000 0.688 x4
Te 0.233 0.500 0.697 x4

=====

A plane-wave DFT calculation with PBE was carried out for LiGa8Rh2 after structural relaxation.

Values from the calculation:
- total DFT energy (no corrections) (eV/cell) = -88.374
- E_form (eV/atom) = -0.31

Cell: 12.740 5.691 5.101 Å, 90.00 94.69 90.00°
Space group C2/m (No. 12)
Unique sites:
Li 0.000 0.000 0.000 x2
Ga 0.079 0.500 0.870 x4
Ga 0.092 0.253 0.403 x8
Ga 0.222 0.000 0.853 x4
Rh 0.248 0.500 0.638 x4

=====

A plane-wave DFT calculation with PBE was carried out for K2Y2Ti after structural relaxation.

Values from the calculation:
- relative energy among the computed polymorphs (eV/atom) = 0.074
- total DFT energy (no corrections) (eV/cell) = -37.611
- E_form (eV/atom) = 0.84

Cell: 4.216 4.216 19.950 Å, 90.00 90.00 90.00°
Space group I4/mmm (No. 139)
Unique sites:
K 0.000 0.500 0.250 x4
Y 0.000 0.000 0.079 x4
Ti 0.000 0.000 0.500 x2

=====

Question: What is the formula in the third record?
Answer: K2Y2Ti